No. 1
Below is a relaxed MnGa2Re2 crystal, with properties calculated at the GGA-PBE level.

Calculated values
Its raw total energy is -76.806 eV for the cell shown.

Cell lengths 6.6604, 6.6604, 3.3405 Å; angles 90.00, 90.00, 90.00 degrees
With the nearest neighbours (Å) after each atom.
Positions (direct):
Re  0.8355  0.3355  0.5000  6 Ga 2.52-2.61
Ga  0.8643  0.6357  0.0000  6 Re 2.52-2.61, 1 Ga 2.56, 2 Mn 2.59
Ga  0.1357  0.3643  0.0000  6 Re 2.52-2.61, 1 Ga 2.56, 2 Mn 2.59
Mn  0.0000  0.0000  0.0000  4 Ga 2.59
Mn  0.5000  0.5000  0.0000  4 Ga 2.59
Re  0.3355  0.1645  0.5000  6 Ga 2.52-2.61
Re  0.1645  0.6645  0.5000  6 Ga 2.52-2.61
Ga  0.3643  0.8643  0.0000  6 Re 2.52-2.61, 1 Ga 2.56, 2 Mn 2.59
Re  0.6645  0.8355  0.5000  6 Ga 2.52-2.61
Ga  0.6357  0.1357  0.0000  6 Re 2.52-2.61, 1 Ga 2.56, 2 Mn 2.59


No. 2
Below is a relaxed MnGaReRh crystal, with properties calculated at the GGA-PBE level.

Calculated values
Its raw total energy is -32.706 eV for the cell shown.

Cell lengths 4.2749, 4.2749, 4.2749 Å; angles 60.00, 60.00, 60.00 degrees
With the nearest neighbours (Å) after each atom.
Positions (direct):
Mn  0.5000  0.5000  0.5000  4 Rh 2.62, 4 Re 2.62
Ga  0.0000  0.0000  0.0000  4 Re 2.62, 4 Rh 2.62
Re  0.7500  0.7500  0.7500  4 Mn 2.62, 4 Ga 2.62
Rh  0.2500  0.2500  0.2500  4 Ga 2.62, 4 Mn 2.62